Entry 1:
This record from Alexandria describes CeGdCuAg after structural relaxation. The functional is PBE.

Cell and atoms, written as CIF:
```
data_CeGdCuAg
_chemical_formula_sum 'Ce4 Gd4 Cu4 Ag4'
_cell_length_a 7.256
_cell_length_b 7.256
_cell_length_c 7.256
_cell_angle_alpha 90.00
_cell_angle_beta 90.00
_cell_angle_gamma 90.00
_space_group_name_H-M_alt 'F -4 3 m'
_space_group_IT_number 216
_space_group_name_Hall 'F -4 2 3'
loop_
_atom_site_label
_atom_site_fract_x
_atom_site_fract_y
_atom_site_fract_z
_atom_site_occupancy
Ce1 0.000 0.000 0.000 1
Gd1 0.000 0.000 0.500 1
Cu1 0.250 0.250 0.250 1
Ag1 0.250 0.250 0.750 1
```

For the density of states at the Fermi level, the calculation gives 33.07 states/eV per cell. The value obtained for the energy relative to the elements is -0.11 eV/atom.


Entry 2:
This record from Alexandria describes CeCuAgHg after structural relaxation. The functional is PBE.

Cell and atoms, written as CIF:
```
data_CeCuAgHg
_chemical_formula_sum 'Ce4 Cu4 Ag4 Hg4'
_cell_length_a 7.036
_cell_length_b 7.036
_cell_length_c 7.036
_cell_angle_alpha 90.00
_cell_angle_beta 90.00
_cell_angle_gamma 90.00
_space_group_name_H-M_alt 'F -4 3 m'
_space_group_IT_number 216
_space_group_name_Hall 'F -4 2 3'
loop_
_atom_site_label
_atom_site_fract_x
_atom_site_fract_y
_atom_site_fract_z
_atom_site_occupancy
Ce1 0.000 0.000 0.000 1
Cu1 0.000 0.000 0.500 1
Ag1 0.250 0.250 0.750 1
Hg1 0.250 0.250 0.250 1
```

For the density of states at the Fermi level, the calculation gives 32.72 states/eV per cell. The value obtained for the energy relative to the elements is -0.03 eV/atom.


Entry 3:
This record from Alexandria describes CeHoCuAg after structural relaxation. The functional is PBE.

Cell and atoms, written as CIF:
```
data_CeHoCuAg
_chemical_formula_sum 'Ce4 Ho4 Cu4 Ag4'
_cell_length_a 7.200
_cell_length_b 7.200
_cell_length_c 7.200
_cell_angle_alpha 90.00
_cell_angle_beta 90.00
_cell_angle_gamma 90.00
_space_group_name_H-M_alt 'F -4 3 m'
_space_group_IT_number 216
_space_group_name_Hall 'F -4 2 3'
loop_
_atom_site_label
_atom_site_fract_x
_atom_site_fract_y
_atom_site_fract_z
_atom_site_occupancy
Ce1 0.000 0.000 0.000 1
Ho1 0.000 0.000 0.500 1
Cu1 0.250 0.250 0.250 1
Ag1 0.250 0.250 0.750 1
```

For the density of states at the Fermi level, the calculation gives 31.77 states/eV per cell. The value obtained for the energy relative to the elements is -0.13 eV/atom.


Entry 4:
This record from Alexandria describes CeMgCuAg after structural relaxation. The functional is PBE.

Cell and atoms, written as CIF:
```
data_CeMgCuAg
_chemical_formula_sum 'Ce4 Mg4 Cu4 Ag4'
_cell_length_a 6.969
_cell_length_b 6.969
_cell_length_c 6.969
_cell_angle_alpha 90.00
_cell_angle_beta 90.00
_cell_angle_gamma 90.00
_space_group_name_H-M_alt 'F -4 3 m'
_space_group_IT_number 216
_space_group_name_Hall 'F -4 2 3'
loop_
_atom_site_label
_atom_site_fract_x
_atom_site_fract_y
_atom_site_fract_z
_atom_site_occupancy
Ce1 0.000 0.000 0.000 1
Mg1 0.000 0.000 0.500 1
Cu1 0.250 0.250 0.250 1
Ag1 0.250 0.250 0.750 1
```

For the density of states at the Fermi level, the calculation gives 31.50 states/eV per cell. The value obtained for the energy relative to the elements is -0.12 eV/atom.


Entry 5:
This record from Alexandria describes CeNdCuAg after structural relaxation. The functional is PBE.

Cell and atoms, written as CIF:
```
data_CeNdCuAg
_chemical_formula_sum 'Ce4 Nd4 Cu4 Ag4'
_cell_length_a 7.333
_cell_length_b 7.333
_cell_length_c 7.333
_cell_angle_alpha 90.00
_cell_angle_beta 90.00
_cell_angle_gamma 90.00
_space_group_name_H-M_alt 'F -4 3 m'
_space_group_IT_number 216
_space_group_name_Hall 'F -4 2 3'
loop_
_atom_site_label
_atom_site_fract_x
_atom_site_fract_y
_atom_site_fract_z
_atom_site_occupancy
Ce1 0.000 0.000 0.000 1
Nd1 0.000 0.000 0.500 1
Cu1 0.250 0.250 0.750 1
Ag1 0.250 0.250 0.250 1
```

For the density of states at the Fermi level, the calculation gives 36.26 states/eV per cell. The value obtained for the energy relative to the elements is -0.08 eV/atom.


Entry 6:
This record from Alexandria describes CePmCuAg after structural relaxation. The functional is PBE.

Cell and atoms, written as CIF:
```
data_CePmCuAg
_chemical_formula_sum 'Ce4 Pm4 Cu4 Ag4'
_cell_length_a 7.307
_cell_length_b 7.307
_cell_length_c 7.307
_cell_angle_alpha 90.00
_cell_angle_beta 90.00
_cell_angle_gamma 90.00
_space_group_name_H-M_alt 'F -4 3 m'
_space_group_IT_number 216
_space_group_name_Hall 'F -4 2 3'
loop_
_atom_site_label
_atom_site_fract_x
_atom_site_fract_y
_atom_site_fract_z
_atom_site_occupancy
Ce1 0.000 0.000 0.000 1
Pm1 0.000 0.000 0.500 1
Cu1 0.250 0.250 0.750 1
Ag1 0.250 0.250 0.250 1
```

For the density of states at the Fermi level, the calculation gives 35.16 states/eV per cell. The value obtained for the energy relative to the elements is -0.09 eV/atom.


Entry 7:
This record from Alexandria describes CePrCuAg after structural relaxation. The functional is PBE.

Cell and atoms, written as CIF:
```
data_CePrCuAg
_chemical_formula_sum 'Ce4 Pr4 Cu4 Ag4'
_cell_length_a 7.362
_cell_length_b 7.362
_cell_length_c 7.362
_cell_angle_alpha 90.00
_cell_angle_beta 90.00
_cell_angle_gamma 90.00
_space_group_name_H-M_alt 'F -4 3 m'
_space_group_IT_number 216
_space_group_name_Hall 'F -4 2 3'
loop_
_atom_site_label
_atom_site_fract_x
_atom_site_fract_y
_atom_site_fract_z
_atom_site_occupancy
Ce1 0.000 0.000 0.000 1
Pr1 0.000 0.000 0.500 1
Cu1 0.250 0.250 0.750 1
Ag1 0.250 0.250 0.250 1
```

For the density of states at the Fermi level, the calculation gives 37.28 states/eV per cell. The value obtained for the energy relative to the elements is -0.07 eV/atom.


Entry 8:
This record from Alexandria describes CePuCuAg after structural relaxation. The functional is PBE.

Cell and atoms, written as CIF:
```
data_CePuCuAg
_chemical_formula_sum 'Ce4 Pu4 Cu4 Ag4'
_cell_length_a 6.871
_cell_length_b 6.871
_cell_length_c 6.871
_cell_angle_alpha 90.00
_cell_angle_beta 90.00
_cell_angle_gamma 90.00
_space_group_name_H-M_alt 'F -4 3 m'
_space_group_IT_number 216
_space_group_name_Hall 'F -4 2 3'
loop_
_atom_site_label
_atom_site_fract_x
_atom_site_fract_y
_atom_site_fract_z
_atom_site_occupancy
Ce1 0.000 0.000 0.000 1
Pu1 0.250 0.250 0.250 1
Cu1 0.250 0.250 0.750 1
Ag1 0.000 0.000 0.500 1
```

For the density of states at the Fermi level, the calculation gives 20.44 states/eV per cell. The value obtained for the energy relative to the elements is -0.08 eV/atom.


Entry 9:
This record from Alexandria describes Ce3CuAg3S8 after structural relaxation. The functional is PBE.

Cell and atoms, written as CIF:
```
data_Ce3CuAg3S8
_chemical_formula_sum 'Ce6 Cu2 Ag6 S16'
_cell_length_a 12.638
_cell_length_b 8.258
_cell_length_c 7.663
_cell_angle_alpha 90.00
_cell_angle_beta 122.42
_cell_angle_gamma 90.00
_space_group_name_H-M_alt 'C 1 2/m 1'
_space_group_IT_number 12
loop_
_space_group_symop_operation_xyz
'x,y,z'
'-x,-y,-z'
'-x,y,-z'
'x,-y,z'
'x+1/2,y+1/2,z'
'-x+1/2,-y+1/2,-z'
'-x+1/2,y+1/2,-z'
'x+1/2,-y+1/2,z'
loop_
_atom_site_label
_atom_site_fract_x
_atom_site_fract_y
_atom_site_fract_z
_atom_site_occupancy
Ce1 0.000 0.000 0.000 1
Ce2 0.250 0.250 0.500 1
Cu1 0.000 0.500 0.000 1
Ag1 0.000 0.500 0.500 1
Ag2 0.250 0.250 0.000 1
S1 0.002 0.239 0.757 1
S2 0.216 0.500 0.226 1
S3 0.244 0.500 0.737 1
```

Its formation energy without anion corrections is -0.986 eV per atom. For the density of states at the Fermi level, the calculation gives 25.80 states/eV per cell.


Entry 10:
This record from Alexandria describes Ce2CuAgS5 after structural relaxation. The functional is PBE.

Cell and atoms, written as CIF:
```
data_Ce2CuAgS5
_chemical_formula_sum 'Ce8 Cu4 Ag4 S20'
_cell_length_a 3.925
_cell_length_b 16.538
_cell_length_c 11.050
_cell_angle_alpha 90.00
_cell_angle_beta 90.00
_cell_angle_gamma 90.00
_space_group_name_H-M_alt 'C m c 21'
_space_group_IT_number 36
loop_
_space_group_symop_operation_xyz
'x,y,z'
'-x,-y,z+1/2'
'-x,y,z'
'x,-y,z+1/2'
'x+1/2,y+1/2,z'
'-x+1/2,-y+1/2,z+1/2'
'-x+1/2,y+1/2,z'
'x+1/2,-y+1/2,z+1/2'
loop_
_atom_site_label
_atom_site_fract_x
_atom_site_fract_y
_atom_site_fract_z
_atom_site_occupancy
Ce1 0.000 0.112 0.000 1
Ce2 0.000 0.126 0.609 1
Cu1 0.000 0.432 0.772 1
Ag1 0.000 0.204 0.313 1
S1 0.000 0.040 0.375 1
S2 0.000 0.293 0.985 1
S3 0.000 0.311 0.646 1
S4 0.000 0.360 0.311 1
S5 0.000 0.500 0.092 1
```

Its formation energy without anion corrections is -1.183 eV per atom. For the density of states at the Fermi level, the calculation gives 20.46 states/eV per cell.


Entry 11:
This record from Alexandria describes CeCuAg2S4 after structural relaxation. The functional is PBE.

Cell and atoms, written as CIF:
```
data_CeCuAg2S4
_chemical_formula_sum 'Ce4 Cu4 Ag8 S16'
_cell_length_a 3.923
_cell_length_b 12.932
_cell_length_c 12.589
_cell_angle_alpha 90.00
_cell_angle_beta 90.00
_cell_angle_gamma 90.00
_space_group_name_H-M_alt 'C m c m'
_space_group_IT_number 63
_space_group_name_Hall '-C 2c 2'
loop_
_atom_site_label
_atom_site_fract_x
_atom_site_fract_y
_atom_site_fract_z
_atom_site_occupancy
Ce1 0.000 0.096 0.250 1
Cu1 0.000 0.169 0.750 1
Ag1 0.000 0.377 0.056 1
S1 0.000 0.000 0.000 1
S2 0.000 0.303 0.627 1
S3 0.000 0.433 0.250 1
```

Its formation energy without anion corrections is -0.624 eV per atom. For the density of states at the Fermi level, the calculation gives 26.03 states/eV per cell.


Entry 12:
This record from Alexandria describes Ce2CuAg2S6 after structural relaxation. The functional is PBE.

Cell and atoms, written as CIF:
```
data_Ce2CuAg2S6
_chemical_formula_sum 'Ce4 Cu2 Ag4 S12'
_cell_length_a 6.855
_cell_length_b 12.061
_cell_length_c 6.486
_cell_angle_alpha 90.00
_cell_angle_beta 113.00
_cell_angle_gamma 90.00
_space_group_name_H-M_alt 'C 1 2/m 1'
_space_group_IT_number 12
loop_
_space_group_symop_operation_xyz
'x,y,z'
'-x,-y,-z'
'-x,y,-z'
'x,-y,z'
'x+1/2,y+1/2,z'
'-x+1/2,-y+1/2,-z'
'-x+1/2,y+1/2,-z'
'x+1/2,-y+1/2,z'
loop_
_atom_site_label
_atom_site_fract_x
_atom_site_fract_y
_atom_site_fract_z
_atom_site_occupancy
Ce1 0.000 0.166 0.000 1
Cu1 0.000 0.500 0.000 1
Ag1 0.000 0.328 0.500 1
S1 0.196 0.500 0.783 1
S2 0.243 0.170 0.755 1
```

Its formation energy without anion corrections is -0.910 eV per atom. For the density of states at the Fermi level, the calculation gives 15.09 states/eV per cell.


Let's list VASP energy in order: -6.85; -3.33; -4.49; -3.74; -4.49; -4.50; -4.48; -6.88; -5.22; -5.57; -4.65; -5.13 eV per atom.